## Tb2Nd8Th (PBE)

Data for crystalline Tb2Nd8Th at its relaxed geometry.

Values from the calculation:
The space group is C2/m (12). Its formation enthalpy at 0 K is 201 kJ/mol of formula units. The calculation puts the total energy at -4.794 eV/atom. Its energy above the most stable polymorph in this dataset is 0.31 eV/f.u. For the density of states at the Fermi level, the calculation gives 18.49 states/eV/f.u.

a = 6.8394 Å, b = 10.3877 Å, c = 10.3877 Å
α = 38.04°, β = 59.40°, γ = 59.40°
Fractional coordinates of all 11 atoms:
1 Nd 0.2351 0.3506 0.8229
2 Nd 0.7331 0.5937 0.5937
3 Nd 0.8270 0.2405 0.2405
4 Nd 0.2669 0.4063 0.4063
5 Nd 0.7649 0.6494 0.1771
6 Nd 0.2351 0.8229 0.3506
7 Nd 0.1730 0.7595 0.7595
8 Nd 0.7649 0.1771 0.6494
9 Th 0.0000 0.0000 0.0000
10 Tb 0.4069 0.1978 0.1978
11 Tb 0.5931 0.8022 0.8022